Entry 1:
# PBE-GGA CuRe2P, optimized geometry
# Size of the total moment ... 0.0 μB/cell
# ρ ... 13.8 g cm⁻³
# DFT formation energy ... 0.460 eV per atom
data_CuRe2P
_symmetry_space_group_name_H-M 'F -4 3 m'
_symmetry_Int_Tables_number 216
_symmetry_space_group_name_Hall 'F -4 2 3'
_cell_length_a 6.076
_cell_length_b 6.076
_cell_length_c 6.076
_cell_angle_alpha 90.00
_cell_angle_beta 90.00
_cell_angle_gamma 90.00
loop_
_atom_site_label
_atom_site_type_symbol
_atom_site_fract_x
_atom_site_fract_y
_atom_site_fract_z
Cu1 Cu 0.000 0.000 0.000
Re1 Re 0.000 0.000 0.500
Re2 Re 0.250 0.250 0.750
P1 P 0.250 0.250 0.250

---

Entry 2:
# PBE-GGA Mn2AsPd8, optimized geometry
# Size of the total moment ... 18.1 μB/cell
# ρ ... 10.1 g cm⁻³
# Excess energy over the best structure of this formula in the dataset ... 12.1 meV/atom
# DFT formation energy ... -0.231 eV per atom
data_Mn2AsPd8
_symmetry_space_group_name_H-M 'C 1 2/m 1'
_symmetry_Int_Tables_number 12
_symmetry_space_group_name_Hall '-C 2y'
_cell_length_a 14.271
_cell_length_b 4.269
_cell_length_c 5.638
_cell_angle_alpha 90.00
_cell_angle_beta 99.09
_cell_angle_gamma 90.00
loop_
_atom_site_label
_atom_site_type_symbol
_atom_site_fract_x
_atom_site_fract_y
_atom_site_fract_z
Mn1 Mn 0.217 0.000 0.163
As1 As 0.000 0.500 0.500
Pd1 Pd 0.034 0.000 0.255
Pd2 Pd 0.094 0.500 0.937
Pd3 Pd 0.162 0.000 0.712
Pd4 Pd 0.164 0.500 0.416

---

Entry 3:
# PBE-GGA AlFe2Ru, optimized geometry
# Size of the total moment ... 3.6 μB/cell
# ρ ... 7.9 g cm⁻³
# DFT formation energy ... -0.103 eV per atom
data_AlFe2Ru
_symmetry_space_group_name_H-M 'P 1 2/m 1'
_symmetry_Int_Tables_number 10
_symmetry_space_group_name_Hall '-P 2y'
_cell_length_a 2.636
_cell_length_b 3.789
_cell_length_c 5.049
_cell_angle_alpha 90.00
_cell_angle_beta 90.65
_cell_angle_gamma 90.00
loop_
_atom_site_label
_atom_site_type_symbol
_atom_site_fract_x
_atom_site_fract_y
_atom_site_fract_z
Al1 Al 0.000 0.000 0.000
Fe1 Fe 0.499 0.500 0.249
Ru1 Ru 0.000 0.000 0.500

---

Entry 4:
# PBE-GGA PW2Se, optimized geometry
# Size of the total moment ... 0.0 μB/cell
# ρ ... 11.0 g cm⁻³
# Energy relative to the elements, uncorrected ... 0.334 eV per atom
# Excess energy over the best structure of this formula in the dataset ... 304.2 meV/atom
data_PW2Se
_symmetry_space_group_name_H-M 'C m m 2'
_symmetry_Int_Tables_number 35
_symmetry_space_group_name_Hall 'C 2 -2'
_cell_length_a 3.353
_cell_length_b 4.662
_cell_length_c 9.209
_cell_angle_alpha 90.00
_cell_angle_beta 90.00
_cell_angle_gamma 90.00
loop_
_atom_site_label
_atom_site_type_symbol
_atom_site_fract_x
_atom_site_fract_y
_atom_site_fract_z
P1 P 0.000 0.000 0.000
W1 W 0.000 0.000 0.569
W2 W 0.000 0.500 0.807
Se1 Se 0.000 0.500 0.351

---

Entry 5:
# PBE-GGA Sn2WBr, optimized geometry
# Size of the total moment ... 0.0 μB/cell
# ρ ... 5.9 g cm⁻³
# Energy relative to the elements, uncorrected ... 0.936 eV per atom
# Excess energy over the best structure of this formula in the dataset ... 0.0 meV/atom
data_Sn2WBr
_symmetry_space_group_name_H-M 'I -4 2 d'
_symmetry_Int_Tables_number 122
_symmetry_space_group_name_Hall 'I -4 2bw'
_cell_length_a 6.533
_cell_length_b 6.533
_cell_length_c 13.302
_cell_angle_alpha 90.00
_cell_angle_beta 90.00
_cell_angle_gamma 90.00
loop_
_atom_site_label
_atom_site_type_symbol
_atom_site_fract_x
_atom_site_fract_y
_atom_site_fract_z
Sn1 Sn 0.186 0.250 0.125
W1 W 0.000 0.000 0.000
Br1 Br 0.000 0.000 0.500

---

Entry 6:
# PBE-GGA MgFe2As, optimized geometry
# Size of the total moment ... 4.6 μB/cell
# ρ ... 6.0 g cm⁻³
# DFT formation energy ... 0.117 eV per atom
data_MgFe2As
_symmetry_space_group_name_H-M 'P 1 2/m 1'
_symmetry_Int_Tables_number 10
_symmetry_space_group_name_Hall '-P 2y'
_cell_length_a 2.827
_cell_length_b 4.156
_cell_length_c 5.019
_cell_angle_alpha 90.00
_cell_angle_beta 96.19
_cell_angle_gamma 90.00
loop_
_atom_site_label
_atom_site_type_symbol
_atom_site_fract_x
_atom_site_fract_y
_atom_site_fract_z
Mg1 Mg 0.000 0.000 0.000
Fe1 Fe 0.402 0.500 0.749
As1 As 0.500 0.000 0.500